First-principles (PBE-GGA) data for a relaxed NaIn7 crystal, as listed in Alexandria via LeMat-Bulk.

Lattice parameters (Å, degrees): 6.701 6.701 6.701 60.00 60.00 60.00
Positions (direct):
In 0.000 0.500 0.500
In 0.500 0.000 0.500
In 0.500 0.000 0.000
In 0.500 0.500 0.500
In 0.000 0.000 0.500
Na 0.000 0.000 0.000
In 0.500 0.500 0.000
In 0.000 0.500 0.000

Calculated values
- Calculated volume: 212.8 Å³/f.u.
- Energy of formation from the pure elements: -0.037 eV per atom
- Space group: Fm-3m (225)
- Size of the total moment: 0.000 μB/f.u.
- DOS(E_F): 4.5 states/eV/f.u.
- ρ: 6.451 Mg/m³
- E_tot: -20.78 eV for the cell shown

First-principles (PBE-GGA) data for a relaxed AlAsP2 crystal, as listed in Alexandria via LeMat-Bulk.

Lattice parameters (Å, degrees): 6.307 6.307 6.307 33.69 33.69 33.69
Positions (direct):
As 0.750 0.750 0.750
P 0.997 0.997 0.997
P 0.503 0.503 0.503
Al 0.250 0.250 0.250

Calculated values
- Calculated volume: 68.8 Å³/f.u.
- Energy of formation from the pure elements: -0.016 eV per atom
- Space group: R-3m (166)
- Size of the total moment: 0.000 μB/f.u.
- DOS(E_F): 1.9 states/eV/f.u.
- Distance to the lowest polymorph of the same formula: 65 meV/atom
- ρ: 3.955 Mg/m³
- E_tot: -19.28 eV for the cell shown

First-principles (PBE-GGA) data for a relaxed Pr4SnTe2 crystal, as listed in Alexandria via LeMat-Bulk.

Lattice parameters (Å, degrees): 4.861 4.861 11.926 78.24 78.24 60.00
Positions (direct):
Sn 0.000 0.000 0.000
Pr 0.866 0.866 0.401
Te 0.763 0.763 0.711
Pr 0.134 0.134 0.599
Te 0.237 0.237 0.289
Pr 0.379 0.379 0.864
Pr 0.621 0.621 0.136

Calculated values
- Calculated volume: 237.2 Å³/f.u.
- Space group: R-3m (166)
- Size of the total moment: 0.000 μB/f.u.
- DOS(E_F): 4.3 states/eV/f.u.
- Distance to the lowest polymorph of the same formula: 164 meV/atom
- ΔE_f (raw): -6.46 eV/f.u.
- ρ: 6.563 Mg/m³
- E_tot: -35.86 eV for the cell shown

First-principles (PBE-GGA) data for a relaxed Ac2La2Pd15 crystal, as listed in Alexandria via LeMat-Bulk.

Lattice parameters (Å, degrees): 7.253 7.253 7.253 81.02 81.02 81.02
Positions (direct):
Pd 0.690 0.000 0.310
Pd 0.000 0.690 0.310
La 0.892 0.892 0.892
Pd 0.348 0.348 0.839
Pd 0.348 0.839 0.348
Pd 0.690 0.310 0.000
Pd 0.839 0.348 0.348
Pd 0.000 0.310 0.690
Pd 0.500 0.000 0.000
Pd 0.000 0.500 0.000
Pd 0.161 0.652 0.652
Pd 0.000 0.000 0.500
Ac 0.361 0.361 0.361
La 0.108 0.108 0.108
Pd 0.652 0.652 0.161
Pd 0.310 0.690 0.000
Ac 0.639 0.639 0.639
Pd 0.652 0.161 0.652
Pd 0.310 0.000 0.690

Calculated values
- Calculated volume: 368.9 Å³/f.u.
- Energy of formation from the pure elements: -0.600 eV per atom
- Space group: R-3m (166)
- Size of the total moment: 0.000 μB/f.u.
- DOS(E_F): 12.1 states/eV/f.u.
- ρ: 10.480 Mg/m³
- E_tot: -107.36 eV for the cell shown

First-principles (PBE-GGA) data for a relaxed La2Pm3PrTm6 crystal, as listed in Alexandria via LeMat-Bulk.

Lattice parameters (Å, degrees): 6.242 6.242 11.749 95.08 95.08 119.98
Positions (direct):
Tm 0.417 0.085 0.253
La 0.667 0.333 0.000
Tm 0.583 0.915 0.747
La 0.333 0.667 0.000
Pr 0.000 0.000 0.000
Tm 0.085 0.417 0.253
Pm 0.834 0.166 0.500
Tm 0.752 0.752 0.253
Pm 0.166 0.834 0.500
Pm 0.500 0.500 0.500
Tm 0.915 0.583 0.747
Tm 0.248 0.248 0.747

Calculated values
- Calculated volume: 390.3 Å³/f.u.
- Energy of formation from the pure elements: 0.018 eV per atom
- Space group: C2/m (12)
- Size of the total moment: 0.000 μB/f.u.
- DOS(E_F): 12.8 states/eV/f.u.
- ρ: 7.945 Mg/m³
- E_tot: -55.50 eV for the cell shown

First-principles (PBE-GGA) data for a relaxed Pm5Pu2O12 crystal, as listed in Alexandria via LeMat-Bulk.

Lattice parameters (Å, degrees): 6.353 7.197 7.693 105.61 90.00 116.19
Each line ends with the local moment (μB).
Positions (direct):
Pu 0.754 0.000 0.000  3.79
O 0.406 0.310 0.574  0.00
O 0.099 0.661 0.912  -0.07
O 0.594 0.690 0.426  0.00
O 0.498 0.996 0.195  -0.08
O 0.439 0.339 0.088  -0.07
Pm 0.000 0.000 0.500  0.00
Pm 0.298 0.595 0.634  0.00
O 0.095 0.690 0.426  0.00
O 0.901 0.339 0.088  -0.07
O 0.561 0.661 0.912  -0.07
Pu 0.246 0.000 0.000  3.79
Pm 0.306 0.612 0.177  0.01
O 0.999 0.999 0.196  -0.09
O 0.502 0.004 0.805  -0.08
Pm 0.702 0.405 0.366  0.00
O 0.001 0.001 0.804  -0.09
Pm 0.694 0.388 0.823  0.01
O 0.905 0.310 0.574  0.00

Calculated values
- Calculated volume: 301.1 Å³/f.u.
- Space group: C2/m (12)
- Size of the total moment: 7.000 μB/f.u.
- DOS(E_F): 10.4 states/eV/f.u.
- ΔE_f (raw): -61.16 eV/f.u.
- ρ: 7.748 Mg/m³
- E_tot: -173.08 eV for the cell shown

First-principles (PBE-GGA) data for a relaxed Cs2GaTe crystal, as listed in Alexandria via LeMat-Bulk.

Lattice parameters (Å, degrees): 5.800 5.800 13.116 77.23 77.23 90.00
Each line ends with the local moment (μB).
Positions (direct):
Te 0.000 0.000 0.000  0.00
Te 0.750 0.250 0.500  0.00
Cs 0.875 0.881 0.750  0.04
Cs 0.119 0.625 0.250  0.04
Ga 0.500 0.500 0.000  0.22
Ga 0.250 0.750 0.500  0.22
Cs 0.375 0.369 0.750  0.04
Cs 0.631 0.125 0.250  0.04

Calculated values
- Calculated volume: 209.5 Å³/f.u.
- Space group: I-42d (122)
- Size of the total moment: 1.000 μB/f.u.
- DOS(E_F): 0.0 states/eV/f.u.
- Distance to the lowest polymorph of the same formula: 394 meV/atom
- ΔE_f (raw): -0.52 eV/f.u.
- ρ: 3.670 Mg/m³
- E_tot: -16.80 eV for the cell shown

First-principles (PBE-GGA) data for a relaxed U2Ni3Ge4Pt crystal, as listed in Alexandria via LeMat-Bulk.

Lattice parameters (Å, degrees): 4.113 4.113 9.831 90.00 90.00 90.00
Each line ends with the local moment (μB).
Positions (direct):
Ge 0.000 0.000 0.000  -0.02
Ge 0.000 0.500 0.356  -0.01
U 0.000 0.500 0.755  2.01
U 0.500 0.000 0.245  2.01
Ni 0.500 0.000 0.879  -0.01
Ni 0.000 0.000 0.500  0.22
Ge 0.500 0.000 0.644  -0.01
Ge 0.500 0.500 0.000  -0.02
Pt 0.500 0.500 0.500  0.05
Ni 0.000 0.500 0.121  -0.01

Calculated values
- Calculated volume: 166.3 Å³/f.u.
- Energy of formation from the pure elements: -0.447 eV per atom
- Space group: P-4m2 (115)
- Size of the total moment: 4.501 μB/f.u.
- DOS(E_F): 19.3 states/eV/f.u.
- ρ: 11.363 Mg/m³
- E_tot: -68.90 eV for the cell shown

First-principles (PBE-GGA) data for a relaxed Ca2CeIn3 crystal, as listed in Alexandria via LeMat-Bulk.

Lattice parameters (Å, degrees): 8.591 8.591 7.836 90.00 90.00 143.26
Each line ends with the local moment (μB).
Positions (direct):
Ce 0.663 0.337 0.000  0.88
In 0.167 0.833 0.747  0.01
In 0.500 0.500 0.256  0.01
Ca 0.667 0.333 0.500  0.00
In 0.833 0.167 0.747  0.01
Ca 0.333 0.667 0.500  0.00
Ce 0.337 0.663 0.000  0.88
In 0.167 0.833 0.253  0.01
In 0.500 0.500 0.744  0.01
In 0.833 0.167 0.253  0.01
Ca 0.000 0.000 0.000  0.00
Ca 0.000 0.000 0.500  0.00

Calculated values
- Calculated volume: 173.0 Å³/f.u.
- Energy of formation from the pure elements: -0.413 eV per atom
- Space group: Cmmm (65)
- Size of the total moment: 1.113 μB/f.u.
- DOS(E_F): 9.1 states/eV/f.u.
- Distance to the lowest polymorph of the same formula: 3 meV/atom
- ρ: 5.421 Mg/m³
- E_tot: -41.25 eV for the cell shown

First-principles (PBE-GGA) data for a relaxed YEr12Th6 crystal, as listed in Alexandria via LeMat-Bulk.

Lattice parameters (Å, degrees): 9.277 9.277 9.277 107.25 107.25 107.25
Positions (direct):
Er 0.086 0.324 0.324
Th 0.329 0.706 0.329
Er 0.500 0.112 0.888
Er 0.914 0.676 0.676
Er 0.324 0.324 0.086
Er 0.112 0.500 0.888
Er 0.324 0.086 0.324
Y 0.000 0.000 0.000
Th 0.706 0.329 0.329
Th 0.329 0.329 0.706
Er 0.676 0.914 0.676
Er 0.888 0.112 0.500
Th 0.294 0.671 0.671
Er 0.500 0.888 0.112
Th 0.671 0.671 0.294
Th 0.671 0.294 0.671
Er 0.676 0.676 0.914
Er 0.888 0.500 0.112
Er 0.112 0.888 0.500

Calculated values
- Calculated volume: 660.3 Å³/f.u.
- Energy of formation from the pure elements: 0.530 eV per atom
- Space group: R-3m (166)
- Size of the total moment: 0.001 μB/f.u.
- DOS(E_F): 32.5 states/eV/f.u.
- ρ: 8.772 Mg/m³
- E_tot: -95.67 eV for the cell shown

First-principles (PBE-GGA) data for a relaxed BaPt3Au crystal, as listed in Alexandria via LeMat-Bulk.

Lattice parameters (Å, degrees): 5.361 5.361 5.361 90.00 90.00 90.00
Positions (direct):
Au 0.500 0.500 0.500
Pt 0.000 0.500 0.000
Pt 0.000 0.000 0.500
Pt 0.500 0.000 0.000
Ba 0.000 0.000 0.000

Calculated values
- Calculated volume: 154.1 Å³/f.u.
- Energy of formation from the pure elements: 1.775 eV per atom
- Space group: Pm-3m (221)
- Size of the total moment: 0.000 μB/f.u.
- DOS(E_F): 7.0 states/eV/f.u.
- Distance to the lowest polymorph of the same formula: 1498 meV/atom
- ρ: 9.908 Mg/m³
- E_tot: -14.45 eV for the cell shown

First-principles (PBE-GGA) data for a relaxed Cs2CdAg2 crystal, as listed in Alexandria via LeMat-Bulk.

Lattice parameters (Å, degrees): 8.255 8.255 5.620 90.00 90.00 90.00
Positions (direct):
Cs 0.677 0.823 0.500
Ag 0.623 0.123 0.000
Cd 0.500 0.500 0.000
Cs 0.177 0.677 0.500
Ag 0.123 0.377 0.000
Ag 0.377 0.877 0.000
Cd 0.000 0.000 0.000
Cs 0.323 0.177 0.500
Ag 0.877 0.623 0.000
Cs 0.823 0.323 0.500

Calculated values
- Calculated volume: 191.5 Å³/f.u.
- Energy of formation from the pure elements: 0.086 eV per atom
- Space group: P4/mbm (127)
- Size of the total moment: 0.000 μB/f.u.
- DOS(E_F): 2.0 states/eV/f.u.
- Distance to the lowest polymorph of the same formula: 83 meV/atom
- ρ: 5.151 Mg/m³
- E_tot: -15.79 eV for the cell shown

First-principles (PBE-GGA) data for a relaxed TlGaHg crystal, as listed in Alexandria via LeMat-Bulk.

Lattice parameters (Å, degrees): 3.940 4.808 4.808 120.00 90.00 90.00
Positions (direct):
Tl 0.663 0.333 0.667
Hg 0.091 0.000 0.000
Ga 0.246 0.667 0.333

Calculated values
- Calculated volume: 78.9 Å³/f.u.
- Energy of formation from the pure elements: 0.068 eV per atom
- Space group: P3m1 (156)
- Size of the total moment: 0.000 μB/f.u.
- DOS(E_F): 1.4 states/eV/f.u.
- ρ: 9.994 Mg/m³
- E_tot: -5.49 eV for the cell shown